Entry 1:
Ga2TcO after structural relaxation. Source: Alexandria, functional PBE.

Computed properties:
Crystal system = tetragonal

The structure in CIF format:
```
data_Ga2TcO
_cell_length_a 6.255
_cell_length_b 6.255
_cell_length_c 5.641
_cell_angle_alpha 90.00
_cell_angle_beta 90.00
_cell_angle_gamma 90.00
_symmetry_space_group_name_H-M 'I -4 2 d'
_symmetry_Int_Tables_number 122
_symmetry_space_group_name_Hall 'I -4 2bw'
loop_
_atom_site_label
_atom_site_fract_x
_atom_site_fract_y
_atom_site_fract_z
Ga1 0.188 0.250 0.125
Tc1 0.000 0.000 0.500
O1 0.000 0.000 0.000
```

***

Entry 2:
Tl2GaTcO after structural relaxation. Source: Alexandria, functional PBE.

Computed properties:
Crystal system = tetragonal

The structure in CIF format:
```
data_Tl2GaTcO
_cell_length_a 5.425
_cell_length_b 5.425
_cell_length_c 3.784
_cell_angle_alpha 90.00
_cell_angle_beta 90.00
_cell_angle_gamma 90.00
_symmetry_space_group_name_H-M 'P 4/m m m'
_symmetry_Int_Tables_number 123
_symmetry_space_group_name_Hall '-P 4 2'
loop_
_atom_site_label
_atom_site_fract_x
_atom_site_fract_y
_atom_site_fract_z
Tl1 0.000 0.500 0.000
Ga1 0.000 0.000 0.500
Tc1 0.500 0.500 0.500
O1 0.500 0.500 0.000
```

***

Entry 3:
TlGaTc2O8 after structural relaxation. Source: Alexandria, functional PBE.

Computed properties:
Crystal system = monoclinic

The structure in CIF format:
```
data_TlGaTc2O8
_cell_length_a 8.922
_cell_length_b 5.780
_cell_length_c 8.101
_cell_angle_alpha 90.00
_cell_angle_beta 93.88
_cell_angle_gamma 90.00
_symmetry_space_group_name_H-M 'C 1 2/m 1'
_symmetry_Int_Tables_number 12
loop_
_symmetry_equiv_pos_as_xyz
'x,y,z'
'-x,-y,-z'
'-x,y,-z'
'x,-y,z'
'x+1/2,y+1/2,z'
'-x+1/2,-y+1/2,-z'
'-x+1/2,y+1/2,-z'
'x+1/2,-y+1/2,z'
loop_
_atom_site_label
_atom_site_fract_x
_atom_site_fract_y
_atom_site_fract_z
Tl1 0.000 0.000 0.000
Ga1 0.000 0.000 0.500
Tc1 0.128 0.500 0.297
O1 0.018 0.241 0.323
O2 0.190 0.500 0.097
O3 0.220 0.000 0.546
```

***

Entry 4:
TlGa2TcO8 after structural relaxation. Source: Alexandria, functional PBE.

Computed properties:
Crystal system = orthorhombic

The structure in CIF format:
```
data_TlGa2TcO8
_cell_length_a 6.522
_cell_length_b 6.680
_cell_length_c 6.431
_cell_angle_alpha 90.00
_cell_angle_beta 90.00
_cell_angle_gamma 90.00
_symmetry_space_group_name_H-M 'C m m m'
_symmetry_Int_Tables_number 65
_symmetry_space_group_name_Hall '-C 2 2'
loop_
_atom_site_label
_atom_site_fract_x
_atom_site_fract_y
_atom_site_fract_z
Tl1 0.000 0.000 0.000
Ga1 0.000 0.500 0.254
Tc1 0.000 0.000 0.500
O1 0.000 0.201 0.294
O2 0.180 0.500 0.000
O3 0.201 0.500 0.500
```

***

Entry 5:
Tl2GaTcO6 after structural relaxation. Source: Alexandria, functional PBE.

Computed properties:
Crystal system = trigonal

The structure in CIF format:
```
data_Tl2GaTcO6
_cell_length_a 5.8408
_cell_length_b 5.8408
_cell_length_c 27.8478
_cell_angle_alpha 90.00
_cell_angle_beta 90.00
_cell_angle_gamma 120.00
_symmetry_space_group_name_H-M 'R -3 m'
_symmetry_Int_Tables_number 166
_symmetry_space_group_name_Hall '-R 3 2"'
loop_
_atom_site_label
_atom_site_fract_x
_atom_site_fract_y
_atom_site_fract_z
Tl1 0.0000 0.0000 0.1309
Tl2 0.0000 0.0000 0.2770
Ga1 0.0000 0.0000 0.4013
Tc1 0.0000 0.0000 0.0000
Tc2 0.0000 0.0000 0.5000
O1 0.0198 0.5099 0.7059
O2 0.0354 0.5177 0.1245
```

***

Entry 6:
TlGaTcO6 after structural relaxation. Source: Alexandria, functional PBE.

Computed properties:
Crystal system = trigonal

The structure in CIF format:
```
data_TlGaTcO6
_cell_length_a 5.2087
_cell_length_b 5.2087
_cell_length_c 4.8204
_cell_angle_alpha 90.00
_cell_angle_beta 90.00
_cell_angle_gamma 120.00
_symmetry_space_group_name_H-M 'P 3 1 2'
_symmetry_Int_Tables_number 149
loop_
_symmetry_equiv_pos_as_xyz
'x,y,z'
'-y,x-y,z'
'-x+y,-x,z'
'-y,-x,-z'
'-x+y,y,-z'
'x,x-y,-z'
loop_
_atom_site_label
_atom_site_fract_x
_atom_site_fract_y
_atom_site_fract_z
Tl1 0.0000 0.0000 0.0000
Ga1 0.3333 0.6667 0.5000
Tc1 0.6667 0.3333 0.5000
O1 0.3786 0.0100 0.7214
```

***

Entry 7:
ZnGaTcO6 after structural relaxation. Source: Alexandria, functional PBE.

Computed properties:
Crystal system = trigonal

The structure in CIF format:
```
data_ZnGaTcO6
_cell_length_a 5.0636
_cell_length_b 5.0636
_cell_length_c 8.9926
_cell_angle_alpha 90.00
_cell_angle_beta 90.00
_cell_angle_gamma 120.00
_symmetry_space_group_name_H-M 'P -3 1 c'
_symmetry_Int_Tables_number 163
_symmetry_space_group_name_Hall '-P 3 2c'
loop_
_atom_site_label
_atom_site_fract_x
_atom_site_fract_y
_atom_site_fract_z
Zn1 0.0000 0.0000 0.0000
Ga1 0.3333 0.6667 0.2500
Tc1 0.3333 0.6667 0.7500
O1 0.0126 0.3610 0.6324
```

***

Entry 8:
Ga2TeO after structural relaxation. Source: Alexandria, functional PBE.

Computed properties:
Crystal system = cubic
Distance to the lowest polymorph of the same formula = 2.202 eV per formula unit

The structure in CIF format:
```
data_Ga2TeO
_cell_length_a 6.620
_cell_length_b 6.620
_cell_length_c 6.620
_cell_angle_alpha 90.00
_cell_angle_beta 90.00
_cell_angle_gamma 90.00
_symmetry_space_group_name_H-M 'F m -3 m'
_symmetry_Int_Tables_number 225
_symmetry_space_group_name_Hall '-F 4 2 3'
loop_
_atom_site_label
_atom_site_fract_x
_atom_site_fract_y
_atom_site_fract_z
Ga1 0.250 0.250 0.250
Te1 0.000 0.000 0.000
O1 0.000 0.000 0.500
```

***

Entry 9:
GaTeO2 after structural relaxation. Source: Alexandria, functional PBE.

Computed properties:
Crystal system = trigonal
Distance to the lowest polymorph of the same formula = 2.984 eV per formula unit

The structure in CIF format:
```
data_GaTeO2
_cell_length_a 3.1067
_cell_length_b 3.1067
_cell_length_c 21.2675
_cell_angle_alpha 90.00
_cell_angle_beta 90.00
_cell_angle_gamma 120.00
_symmetry_space_group_name_H-M 'R -3 m'
_symmetry_Int_Tables_number 166
_symmetry_space_group_name_Hall '-R 3 2"'
loop_
_atom_site_label
_atom_site_fract_x
_atom_site_fract_y
_atom_site_fract_z
Ga1 0.0000 0.0000 0.0000
Te1 0.0000 0.0000 0.5000
O1 0.0000 0.0000 0.0888
```

***

Entry 10:
GaTe2O5 after structural relaxation. Source: Alexandria, functional PBE.

Computed properties:
Crystal system = orthorhombic

The structure in CIF format:
```
data_GaTe2O5
_cell_length_a 7.403
_cell_length_b 10.495
_cell_length_c 6.051
_cell_angle_alpha 90.00
_cell_angle_beta 90.00
_cell_angle_gamma 90.00
_symmetry_space_group_name_H-M 'P b c n'
_symmetry_Int_Tables_number 60
loop_
_symmetry_equiv_pos_as_xyz
'x,y,z'
'-x,-y,-z'
'-x+1/2,-y+1/2,z+1/2'
'x+1/2,y+1/2,-z+1/2'
'x+1/2,-y+1/2,-z'
'-x+1/2,y+1/2,z'
'-x,y,-z+1/2'
'x,-y,z+1/2'
loop_
_atom_site_label
_atom_site_fract_x
_atom_site_fract_y
_atom_site_fract_z
Ga1 0.000 0.060 0.250
Te1 0.126 0.345 0.506
O1 0.000 0.440 0.250
O2 0.137 0.068 0.956
O3 0.184 0.198 0.324
```

***

Entry 11:
Ga2Te2O after structural relaxation. Source: Alexandria, functional PBE.

Computed properties:
Crystal system = tetragonal
Distance to the lowest polymorph of the same formula = 0.510 eV per formula unit

The structure in CIF format:
```
data_Ga2Te2O
_cell_length_a 6.021
_cell_length_b 6.021
_cell_length_c 5.881
_cell_angle_alpha 90.00
_cell_angle_beta 90.00
_cell_angle_gamma 90.00
_symmetry_space_group_name_H-M 'P 4/m b m'
_symmetry_Int_Tables_number 127
_symmetry_space_group_name_Hall '-P 4 2ab'
loop_
_atom_site_label
_atom_site_fract_x
_atom_site_fract_y
_atom_site_fract_z
Ga1 0.168 0.332 0.000
Te1 0.238 0.262 0.500
O1 0.000 0.000 0.000
```

***

Entry 12:
Ga3TeO after structural relaxation. Source: Alexandria, functional PBE.

Computed properties:
Crystal system = cubic
Distance to the lowest polymorph of the same formula = 0.000 eV per formula unit

The structure in CIF format:
```
data_Ga3TeO
_cell_length_a 4.650
_cell_length_b 4.650
_cell_length_c 4.650
_cell_angle_alpha 90.00
_cell_angle_beta 90.00
_cell_angle_gamma 90.00
_symmetry_space_group_name_H-M 'P m -3 m'
_symmetry_Int_Tables_number 221
_symmetry_space_group_name_Hall '-P 4 2 3'
loop_
_atom_site_label
_atom_site_fract_x
_atom_site_fract_y
_atom_site_fract_z
Ga1 0.000 0.000 0.500
Te1 0.500 0.500 0.500
O1 0.000 0.000 0.000
```

***

E_form (uncorrected) per entry: -200, 114, -1324, -1230, -1084, -1202, -1284, 38, -357, -1048, -333, -271 meV/atom